1.
Material: AgMo2Pt
Method: DFT, PBE-GGA
State: relaxed

Cell: 9.6813 2.7506 4.9129 Å, 90.00 99.92 90.00°
With the nearest neighbours (Å) after each atom.
Space group C2/m (No. 12)
Symmetry-distinct sites (fractional):
1 Ag 0.0000 0.0000 0.0000 [2 per cell]  2 Ag 2.75, 4 Pt 2.82, 6 Mo 2.86-2.94
2 Mo 0.2420 0.0000 0.7394 [4 per cell]  6 Mo 2.75-2.89, 3 Pt 2.80-2.94, 3 Ag 2.86-2.94
3 Pt 0.0000 0.5000 0.5000 [2 per cell]  2 Pt 2.75, 6 Mo 2.80-2.94, 4 Ag 2.82

Properties
ΔE_f = 0.2258 eV per atom
Total energy = -7.413 eV/atom
Polymorph energy (0 for the lowest one) = 149 meV/atom


2.
Material: Ag2MoPt
Method: DFT, PBE-GGA
State: relaxed

Cell: 3.9107 3.9107 8.8369 Å, 90.00 90.00 90.00°
With the nearest neighbours (Å) after each atom.
Space group I4/mmm (No. 139)
Symmetry-distinct sites (fractional):
1 Ag 0.0000 0.5000 0.2500 [4 per cell]  4 Ag 2.77, 4 Mo 2.95, 4 Pt 2.95
2 Mo 0.0000 0.0000 0.0000 [2 per cell]  4 Pt 2.77, 8 Ag 2.95
3 Pt 0.0000 0.0000 0.5000 [2 per cell]  4 Mo 2.77, 8 Ag 2.95

Properties
ΔE_f = 0.4112 eV per atom
Total energy = -5.232 eV/atom
Polymorph energy (0 for the lowest one) = 358 meV/atom


3.
Material: SrAgMo2Pt
Method: DFT, PBE-GGA
State: relaxed

Cell: 4.7676 4.7676 5.0388 Å, 90.00 90.00 90.00°
With the nearest neighbours (Å) after each atom.
Space group P4/mmm (No. 123)
Symmetry-distinct sites (fractional):
1 Sr 0.0000 0.0000 0.0000 [1 per cell]  4 Mo 2.38, 2 Ag 2.52
2 Ag 0.0000 0.0000 0.5000 [1 per cell]  2 Sr 2.52
3 Mo 0.0000 0.5000 0.0000 [2 per cell]  2 Sr 2.38
4 Pt 0.5000 0.5000 0.5000 [1 per cell]  4 Ag 3.37, 8 Mo 3.47

Properties
ΔE_f = 2.6919 eV per atom
Total energy = -3.755 eV/atom


4.
Material: VAgMoPt2
Method: DFT, PBE-GGA
State: relaxed

Cell: 4.7634 4.7634 4.9954 Å, 90.00 90.00 90.00°
With the nearest neighbours (Å) after each atom.
Space group P4/mmm (No. 123)
Symmetry-distinct sites (fractional):
1 V 0.0000 0.0000 0.0000 [1 per cell]  4 Ag 3.37, 8 Pt 3.45
2 Ag 0.5000 0.5000 0.0000 [1 per cell]  2 Mo 2.50
3 Mo 0.5000 0.5000 0.5000 [1 per cell]  4 Pt 2.38, 2 Ag 2.50
4 Pt 0.0000 0.5000 0.5000 [2 per cell]  2 Mo 2.38

Properties
ΔE_f = 1.5387 eV per atom
Total energy = -5.438 eV/atom


5.
Material: ZnAgMo2Pt
Method: DFT, PBE-GGA
State: relaxed

Cell: 4.5943 4.5943 4.5625 Å, 90.00 90.00 90.00°
With the nearest neighbours (Å) after each atom.
Space group P4/mmm (No. 123)
Symmetry-distinct sites (fractional):
1 Zn 0.0000 0.0000 0.0000 [1 per cell]  2 Pt 2.28, 4 Mo 2.30
2 Ag 0.5000 0.5000 0.5000 [1 per cell]  8 Mo 3.24, 4 Pt 3.25
3 Mo 0.0000 0.5000 0.0000 [2 per cell]  2 Zn 2.30
4 Pt 0.0000 0.0000 0.5000 [1 per cell]  2 Zn 2.28

Properties
ΔE_f = 1.4660 eV per atom
Total energy = -4.900 eV/atom


6.
Material: RbAgMo2
Method: DFT, PBE-GGA
State: relaxed

Cell: 6.7493 6.7493 6.7493 Å, 90.00 90.00 90.00°
With the nearest neighbours (Å) after each atom.
Space group Fm-3m (No. 225)
Symmetry-distinct sites (fractional):
1 Rb 0.0000 0.0000 0.0000 [4 per cell]  8 Mo 2.92
2 Ag 0.0000 0.0000 0.5000 [4 per cell]  8 Mo 2.92
3 Mo 0.2500 0.2500 0.2500 [8 per cell]  4 Rb 2.92, 4 Ag 2.92

Properties
ΔE_f = 2.0735 eV per atom
Total energy = -4.297 eV/atom
Polymorph energy (0 for the lowest one) = 530 meV/atom


7.
Material: Rb3AgMo
Method: DFT, PBE-GGA
State: relaxed

Cell: 6.7260 6.7260 6.7260 Å, 90.00 90.00 90.00°
With the nearest neighbours (Å) after each atom.
Space group Pm-3m (No. 221)
Symmetry-distinct sites (fractional):
1 Rb 0.0000 0.0000 0.5000 [3 per cell]  2 Ag 3.36
2 Ag 0.0000 0.0000 0.0000 [1 per cell]  6 Rb 3.36
3 Mo 0.5000 0.5000 0.5000 [1 per cell]  12 Rb 4.76

Properties
ΔE_f = 1.0927 eV per atom
Total energy = -2.224 eV/atom
Polymorph energy (0 for the lowest one) = 0 meV/atom


8.
Material: RbAgMo2
Method: DFT, PBE-GGA
State: relaxed

Cell: 4.3727 4.3727 21.7566 Å, 90.00 90.00 90.00°
With the nearest neighbours (Å) after each atom.
Space group I-42d (No. 122)
Symmetry-distinct sites (fractional):
1 Rb 0.0000 0.0000 0.0000 [4 per cell]  4 Ag 3.09, 4 Mo 3.42
2 Ag 0.0000 0.0000 0.5000 [4 per cell]  4 Mo 2.96, 4 Rb 3.09
3 Mo 0.0972 0.7500 0.6250 [8 per cell]  2 Mo 2.35

Properties
ΔE_f = 1.5436 eV per atom
Total energy = -4.827 eV/atom
Polymorph energy (0 for the lowest one) = 0 meV/atom


9.
Material: Rb3AgMo2S8
Method: DFT, PBE-GGA
State: relaxed

Cell: 7.1710 7.1710 9.5256 Å, 90.00 90.00 120.00°
With the nearest neighbours (Å) after each atom.
Space group P-3m1 (No. 164)
Symmetry-distinct sites (fractional):
1 Rb 0.0000 0.0000 0.0000 [1 per cell]  6 S 3.61
2 Rb 0.3333 0.6667 0.6471 [2 per cell]  10 S 3.41-3.82
3 Ag 0.0000 0.0000 0.5000 [1 per cell]  6 S 2.73
4 Mo 0.3333 0.6667 0.2331 [2 per cell]  4 S 2.17-2.21
5 S 0.1654 0.3308 0.3111 [6 per cell]  1 Mo 2.21
6 S 0.3333 0.6667 0.0052 [2 per cell]  1 Mo 2.17

Properties
Total energy = -5.071 eV/atom
Formation energy without anion corrections = -754 meV per atom


10.
Material: RbAgMo2Se
Method: DFT, PBE-GGA
State: relaxed

Cell: 4.7706 4.7706 6.0683 Å, 90.00 90.00 90.00°
With the nearest neighbours (Å) after each atom.
Space group P4/mmm (No. 123)
Symmetry-distinct sites (fractional):
1 Rb 0.0000 0.0000 0.0000 [1 per cell]  2 Se 3.03, 4 Ag 3.37
2 Ag 0.5000 0.5000 0.0000 [1 per cell]  4 Rb 3.37
3 Mo 0.0000 0.5000 0.5000 [2 per cell]  2 Se 2.39
4 Se 0.0000 0.0000 0.5000 [1 per cell]  4 Mo 2.39

Properties
Total energy = -4.604 eV/atom
Formation energy without anion corrections = 1189 meV per atom


11.
Material: RbAg2MoSe4
Method: DFT, PBE-GGA
State: relaxed

Cell: 7.1071 7.1071 9.2550 Å, 90.00 90.00 90.00°
With the nearest neighbours (Å) after each atom.
Space group I-42m (No. 121)
Symmetry-distinct sites (fractional):
1 Rb 0.0000 0.0000 0.0000 [2 per cell]  8 Se 3.41-3.75
2 Ag 0.0000 0.5000 0.2500 [4 per cell]  4 Se 2.74
3 Mo 0.0000 0.0000 0.5000 [2 per cell]  4 Se 2.38
4 Se 0.1907 0.1907 0.6518 [8 per cell]  1 Mo 2.38

Properties
Total energy = -4.311 eV/atom
Formation energy without anion corrections = -381 meV per atom


12.
Material: RbSrAg2Mo
Method: DFT, PBE-GGA
State: relaxed

Cell: 6.1109 6.1109 6.2946 Å, 90.00 90.00 90.00°
With the nearest neighbours (Å) after each atom.
Space group P4/mmm (No. 123)
Symmetry-distinct sites (fractional):
1 Rb 0.0000 0.0000 0.0000 [1 per cell]  4 Mo 4.32, 8 Ag 4.39
2 Sr 0.5000 0.5000 0.5000 [1 per cell]  4 Ag 3.06, 2 Mo 3.15
3 Ag 0.0000 0.5000 0.5000 [2 per cell]  2 Sr 3.06
4 Mo 0.5000 0.5000 0.0000 [1 per cell]  2 Sr 3.15

Properties
ΔE_f = 1.2251 eV per atom
Total energy = -2.612 eV/atom